A plane-wave DFT calculation with SCAN was carried out for BaAg2Sb at its PBEsol-relaxed geometry.

The structure in POSCAR format:
```
BaAg2Sb
1.0
-1.671 0.846 -4.335
-2.474 -3.323 -2.266
-6.241 1.240 0.076
Ag Ba Sb
2 1 1
direct
0.999 0.999 0.004
0.298 0.298 0.106
0.501 0.501 0.496
0.707 0.707 0.878
```

Values from the calculation:
- Raw formation energy: -0.398 eV/atom
- Electronic total energy: -1.29669 hartree per atom
- SG: R3m (160)